Record 1
Density functional theory data (PBE-GGA) for SbPH2 after structural relaxation. Values from VASP.

* excess energy over the best structure of this formula in the dataset: 385 meV/atom
* space-group type: Fm-3m, No. 225
* magnetization: 0.00 μB/atom

```
&SYSTEM
  ibrav = 0, nat = 16, ntyp = 3
/
ATOMIC_SPECIES
Sb 121.76 Sb.upf
P 30.97 P.upf
H 1.01 H.upf
CELL_PARAMETERS angstrom
5.690 0.000 0.000
0.000 5.690 0.000
0.000 0.000 5.690
ATOMIC_POSITIONS angstrom
Sb 0.000 0.000 0.000
Sb 0.000 2.845 2.845
Sb 2.845 0.000 2.845
Sb 2.845 2.845 0.000
P 0.000 0.000 2.845
P 0.000 2.845 0.000
P 2.845 0.000 0.000
P 2.845 2.845 2.845
H 1.422 1.422 1.422
H 1.422 1.422 4.267
H 1.422 4.267 1.422
H 1.422 4.267 4.267
H 4.267 1.422 1.422
H 4.267 1.422 4.267
H 4.267 4.267 1.422
H 4.267 4.267 4.267
```

***

Record 2
Density functional theory data (PBE-GGA) for MoAsBr2N after structural relaxation. Values from VASP.

* excess energy over the best structure of this formula in the dataset: 0 meV/atom
* space-group type: P4/mmm, No. 123
* E_form (uncorrected): 1.163 eV/atom
* magnetization: 0.68 μB/atom

```
&SYSTEM
  ibrav = 0, nat = 5, ntyp = 4
/
ATOMIC_SPECIES
Mo 95.94 Mo.upf
As 74.92 As.upf
Br 79.90 Br.upf
N 14.01 N.upf
CELL_PARAMETERS angstrom
5.225 0.000 0.000
0.000 5.225 0.000
0.000 0.000 4.836
ATOMIC_POSITIONS angstrom
Mo 0.000 0.000 0.000
As 0.000 0.000 2.418
Br 0.000 2.612 0.000
Br 2.612 0.000 0.000
N 2.612 2.612 2.418
```

***

Record 3
Density functional theory data (PBE-GGA) for RbLi2MnAg after structural relaxation. Values from VASP.

* formation energy: 394 meV per atom
* space-group type: P4/mmm, No. 123
* magnetization: 0.83 μB/atom

```
&SYSTEM
  ibrav = 0, nat = 5, ntyp = 4
/
ATOMIC_SPECIES
Rb 85.47 Rb.upf
Li 6.94 Li.upf
Mn 54.94 Mn.upf
Ag 107.87 Ag.upf
CELL_PARAMETERS angstrom
5.282 0.000 0.000
0.000 5.282 0.000
0.000 0.000 5.207
ATOMIC_POSITIONS angstrom
Rb 0.000 0.000 0.000
Li 0.000 2.641 2.603
Li 2.641 0.000 2.603
Mn 2.641 2.641 0.000
Ag 2.641 2.641 2.603
```

***

Record 4
Density functional theory data (PBE-GGA) for ReSiSe2 after structural relaxation. Values from VASP.

* space-group type: R-3m, No. 166
* E_form (uncorrected): 0.360 eV/atom
* magnetization: 0.00 μB/atom

```
&SYSTEM
  ibrav = 0, nat = 12, ntyp = 3
/
ATOMIC_SPECIES
Re 186.21 Re.upf
Si 28.09 Si.upf
Se 78.96 Se.upf
CELL_PARAMETERS angstrom
3.151 0.000 0.000
-1.576 2.729 0.000
0.000 0.000 27.359
ATOMIC_POSITIONS angstrom
Re 0.000 0.000 0.000
Re 0.000 1.819 18.239
Re 1.576 0.910 9.120
Si 0.000 0.000 13.680
Si 0.000 1.819 4.560
Si 1.576 0.910 22.799
Se 0.000 0.000 10.913
Se 0.000 0.000 16.446
Se 0.000 1.819 1.793
Se 0.000 1.819 7.326
Se 1.576 0.910 20.033
Se 1.576 0.910 25.566
```

***

Record 5
Density functional theory data (PBE-GGA) for La2Y after structural relaxation. Values from VASP.

* formation energy: 201 meV per atom
* excess energy over the best structure of this formula in the dataset: 186 meV/atom
* space-group type: I4/mcm, No. 140
* magnetization: 0.00 μB/atom

```
&SYSTEM
  ibrav = 0, nat = 12, ntyp = 2
/
ATOMIC_SPECIES
La 138.91 La.upf
Y 88.91 Y.upf
CELL_PARAMETERS angstrom
7.839 0.000 0.000
0.000 7.839 0.000
0.000 0.000 6.969
ATOMIC_POSITIONS angstrom
La 1.163 2.756 0.000
La 1.163 5.082 3.484
La 2.756 1.163 3.484
La 2.756 6.676 0.000
La 5.082 1.163 0.000
La 5.082 6.676 3.484
La 6.676 2.756 3.484
La 6.676 5.082 0.000
Y 0.000 0.000 1.742
Y 0.000 0.000 5.226
Y 3.919 3.919 1.742
Y 3.919 3.919 5.226
```

***

Record 6
Density functional theory data (PBE-GGA) for BaBiSb after structural relaxation. Values from VASP.

* excess energy over the best structure of this formula in the dataset: 80 meV/atom
* space-group type: P2_1/c, No. 14
* E_form (uncorrected): -0.585 eV/atom
* magnetization: 0.00 μB/atom

```
&SYSTEM
  ibrav = 0, nat = 12, ntyp = 3
/
ATOMIC_SPECIES
Ba 137.33 Ba.upf
Bi 208.98 Bi.upf
Sb 121.76 Sb.upf
CELL_PARAMETERS angstrom
5.534 0.000 0.000
0.000 8.334 0.000
-3.681 0.000 11.413
ATOMIC_POSITIONS angstrom
Ba 0.406 2.072 0.960
Ba -1.435 2.094 6.667
Ba 3.287 6.239 4.746
Ba 1.447 6.261 10.453
Bi -0.487 1.050 10.036
Bi 1.354 3.116 4.330
Bi 0.498 5.217 7.083
Bi 2.339 7.283 1.377
Sb 0.387 5.310 2.535
Sb -1.454 7.191 8.241
Sb 3.307 1.143 3.172
Sb 1.466 3.024 8.878
```